# K2Cd6In

A relaxed structure of K2Cd6In (GGA-PBE, Alexandria).

Total magnetic moment ... 0.000 μB/atom
ΔE_f ... -0.768 eV per formula unit
Total DFT energy (no corrections) ... -1.24 eV/atom

a b c (Å): 6.883 6.587 6.588
angles (deg): 120.00 90.00 90.00
Fractional positions:
Cd: 0.341 0.355 0.178
Cd: 0.659 0.645 0.822
Cd: 0.659 0.178 0.355
Cd: 0.341 0.822 0.178
Cd: 0.341 0.822 0.645
Cd: 0.659 0.178 0.822
In: 0.000 0.000 0.000
K: 0.867 0.667 0.333
K: 0.133 0.333 0.667


# KAlCd11

A relaxed structure of KAlCd11 (GGA-PBE, Alexandria).

Total magnetic moment ... 0.000 μB/atom
ΔE_f ... -0.184 eV per formula unit
Total DFT energy (no corrections) ... -1.16 eV/atom

a b c (Å): 5.952 7.840 7.741
angles (deg): 81.87 67.39 68.41
Fractional positions:
Cd: 0.710 0.779 0.785
Cd: 0.640 0.357 0.350
Cd: 0.290 0.221 0.215
Cd: 0.505 0.221 0.785
Cd: 0.011 0.643 0.350
Cd: 0.000 0.500 0.000
Cd: 0.000 0.000 0.500
Cd: 0.360 0.643 0.650
Cd: 0.495 0.779 0.215
Cd: 0.500 0.000 0.500
Cd: 0.989 0.357 0.650
Al: 0.500 0.500 0.000
K: 0.000 0.000 0.000